No. 1
The following is a PBE-GGA calculation of InMo2Ru after structural relaxation, from the Alexandria database.

Cell lengths 9.5677, 2.8869, 4.9465 Å; angles 90.00, 102.79, 90.00 degrees
With the nearest neighbours (Å) after each atom.
Space group Cm (No. 8)
Inequivalent atoms, fractional coordinates:
In 0.0000 0.0000 0.0000 [2 per cell]  7 Mo 2.85-3.00, 2 In 2.89, 3 Ru 2.92
Mo 0.0139 0.5000 0.5097 [2 per cell]  2 Ru 2.64, 5 Mo 2.78-2.89, 4 In 2.85-2.88
Mo 0.2670 0.5000 0.2856 [2 per cell]  2 Ru 2.68, 5 Mo 2.78-2.89, 1 In 2.89
Ru 0.2419 0.0000 0.7283 [2 per cell]  4 Mo 2.64-2.68, 2 Ru 2.89, 3 In 2.92

Properties
The value obtained for the energy of formation is 0.2767 eV/atom. For the calculated density, the calculation gives 10.16 g/cm3.

No. 2
The following is a PBE-GGA calculation of Mn2ReAs after structural relaxation, from the Alexandria database.

Cell lengths 3.0935, 4.1517, 8.1720 Å; angles 90.00, 90.00, 90.00 degrees
With the nearest neighbours (Å) after each atom.
Space group Immm (No. 71)
Inequivalent atoms, fractional coordinates:
Mn 0.0000 0.0000 0.2400 [4 per cell]  2 As 2.50, 4 Mn 2.59, 2 Re 2.63
Re 0.0000 0.5000 0.0000 [2 per cell]  4 As 2.59, 8 Mn 2.63-2.86
As 0.0000 0.5000 0.5000 [2 per cell]  4 Mn 2.50, 4 Re 2.59

Properties
The value obtained for the energy of formation is 0.1660 eV/atom. For the calculated density, the calculation gives 11.74 g/cm3.

No. 3
The following is a PBE-GGA calculation of HfTl3S after structural relaxation, from the Alexandria database.

Cell lengths 5.6782, 5.6782, 5.6782 Å; angles 90.00, 90.00, 90.00 degrees
With the nearest neighbours (Å) after each atom.
Space group Pm-3m (No. 221)
Inequivalent atoms, fractional coordinates:
Hf 0.0000 0.0000 0.0000 [1 per cell]  6 Tl 2.84
Tl 0.0000 0.0000 0.5000 [3 per cell]  2 Hf 2.84
S 0.5000 0.5000 0.5000 [1 per cell]  12 Tl 4.02

Properties
The calculation puts the energy above the most stable polymorph in this dataset at 0.00 eV per formula unit. Its formation energy (no corrections) is 0.795 eV per atom. For the calculated density, the calculation gives 7.47 g/cm3.

No. 4
The following is a PBE-GGA calculation of HfVTeI2 after structural relaxation, from the Alexandria database.

Cell lengths 5.6417, 5.6417, 5.6385 Å; angles 90.00, 90.00, 90.00 degrees
With the nearest neighbours (Å) after each atom.
Space group P4/mmm (No. 123)
Inequivalent atoms, fractional coordinates:
Hf 0.0000 0.0000 0.0000 [1 per cell]  2 Te 2.82, 4 I 2.82
V 0.5000 0.5000 0.5000 [1 per cell]  8 I 3.99, 4 Te 3.99
Te 0.0000 0.0000 0.5000 [1 per cell]  2 Hf 2.82
I 0.0000 0.5000 0.0000 [2 per cell]  2 Hf 2.82

Properties
The calculation puts the energy above the most stable polymorph in this dataset at 0.00 eV per formula unit. Its formation energy (no corrections) is 0.398 eV per atom. For the calculated density, the calculation gives 5.65 g/cm3.

No. 5
The following is a PBE-GGA calculation of MnBeTcP after structural relaxation, from the Alexandria database.

Cell lengths 5.6341, 5.6341, 5.6341 Å; angles 90.00, 90.00, 90.00 degrees
With the nearest neighbours (Å) after each atom.
Space group F-43m (No. 216)
Inequivalent atoms, fractional coordinates:
Mn 0.0000 0.0000 0.0000 [4 per cell]  4 Be 2.44, 4 P 2.44
Be 0.2500 0.2500 0.2500 [4 per cell]  4 Mn 2.44, 4 Tc 2.44
Tc 0.0000 0.0000 0.5000 [4 per cell]  4 Be 2.44, 4 P 2.44
P 0.2500 0.2500 0.7500 [4 per cell]  4 Mn 2.44, 4 Tc 2.44

Properties
The value obtained for the energy of formation is -0.2388 eV/atom. For the calculated density, the calculation gives 7.17 g/cm3.

No. 6
The following is a PBE-GGA calculation of Ac3Tl3Rh2 after structural relaxation, from the Alexandria database.

Cell lengths 4.1352, 12.4357, 18.2956 Å; angles 90.00, 90.00, 90.00 degrees
With the nearest neighbours (Å) after each atom.
Space group Cmcm (No. 63)
Inequivalent atoms, fractional coordinates:
Ac 0.0000 0.0681 0.1017 [8 per cell]  2 Rh 3.01
Ac 0.0000 0.3112 0.2500 [4 per cell]  4 Rh 3.17, 3 Tl 3.45
Tl 0.0000 0.3430 0.0439 [8 per cell]  2 Rh 2.88
Tl 0.0000 0.4112 0.7500 [4 per cell]  2 Rh 2.92
Rh 0.0000 0.2603 0.6276 [8 per cell]  3 Tl 2.88-2.92, 4 Ac 3.01-3.17

Properties
The value obtained for the energy of formation is -0.4679 eV/atom. The calculation puts the energy above the most stable polymorph in this dataset at 0.00 eV per formula unit. For the calculated density, the calculation gives 10.59 g/cm3.

No. 7
The following is a PBE-GGA calculation of HoErNi2 after structural relaxation, from the Alexandria database.

Cell lengths 4.1664, 3.7172, 10.1039 Å; angles 90.00, 90.00, 90.00 degrees
With the nearest neighbours (Å) after each atom.
Space group Amm2 (No. 38)
Inequivalent atoms, fractional coordinates:
Ho 0.0000 0.0000 0.0000 [2 per cell]  7 Ni 2.84-2.90
Er 0.5000 0.0000 0.7207 [2 per cell]  7 Ni 2.83-2.91
Ni 0.0000 0.0000 0.2874 [2 per cell]  2 Ni 2.55, 2 Ho 2.84
Ni 0.5000 0.0000 0.4323 [2 per cell]  2 Ni 2.55, 2 Er 2.83

Properties
The value obtained for the energy of formation is -0.4811 eV/atom. The calculation puts the energy above the most stable polymorph in this dataset at 0.00 eV per formula unit. For the calculated density, the calculation gives 9.54 g/cm3.

No. 8
The following is a PBE-GGA calculation of TbPmEu2 after structural relaxation, from the Alexandria database.

Cell lengths 5.9813, 5.9813, 4.0612 Å; angles 90.00, 90.00, 90.00 degrees
With the nearest neighbours (Å) after each atom.
Space group P4/mmm (No. 123)
Inequivalent atoms, fractional coordinates:
Tb 0.0000 0.0000 0.0000 [1 per cell]  8 Eu 3.61
Pm 0.5000 0.5000 0.0000 [1 per cell]  8 Eu 3.61
Eu 0.0000 0.5000 0.5000 [2 per cell]  4 Pm 3.61, 4 Tb 3.61

Properties
The value obtained for the energy of formation is 0.1540 eV/atom. The calculation puts the energy above the most stable polymorph in this dataset at 0.19 eV per formula unit. For the calculated density, the calculation gives 6.95 g/cm3.

No. 9
The following is a PBE-GGA calculation of YCuC after structural relaxation, from the Alexandria database.

Cell lengths 6.1539, 4.3281, 7.8584 Å; angles 90.00, 112.78, 90.00 degrees
With the nearest neighbours (Å) after each atom.
Space group C2 (No. 5)
Inequivalent atoms, fractional coordinates:
Y 0.0819 0.0000 0.3217 [4 per cell]  3 C 2.41-2.59
Cu 0.1828 0.4949 0.9515 [4 per cell]  2 C 1.91-2.00
C 0.0000 0.5416 0.5000 [2 per cell]  4 Y 2.41-2.59
C 0.0000 0.8153 0.0000 [2 per cell]  4 Cu 1.91-2.00

Properties
The value obtained for the energy of formation is 0.0716 eV/atom. For the calculated density, the calculation gives 5.66 g/cm3.

No. 10
The following is a PBE-GGA calculation of SnPbBr6 after structural relaxation, from the Alexandria database.

Cell lengths 7.0423, 7.0423, 19.3722 Å; angles 90.00, 90.00, 120.00 degrees
With the nearest neighbours (Å) after each atom.
Space group R-3 (No. 148, hexagonal axes)
Inequivalent atoms, fractional coordinates:
Sn 0.0000 0.0000 0.0000 [3 per cell]  6 Br 2.66
Pb 0.0000 0.0000 0.5000 [3 per cell]  6 Br 3.08
Br 0.0105 0.6420 0.5884 [18 per cell]  1 Sn 2.66

Properties
Its formation energy (no corrections) is -0.680 eV per atom. For the calculated density, the calculation gives 4.82 g/cm3.

No. 11
The following is a PBE-GGA calculation of Dy4TmPu after structural relaxation, from the Alexandria database.

Cell lengths 6.7975, 19.1573, 5.7313 Å; angles 90.00, 90.00, 90.00 degrees
With the nearest neighbours (Å) after each atom.
Space group Cmcm (No. 63)
Inequivalent atoms, fractional coordinates:
Dy 0.2467 0.1095 0.2500 [8 per cell]  5 Dy 3.35-3.54, 3 Pu 3.44-3.53, 3 Tm 3.51-3.53
Dy 0.2475 0.2058 0.7500 [8 per cell]  7 Dy 3.33-3.54, 1 Tm 3.44, 1 Pu 3.47
Tm 0.0000 0.4496 0.2500 [4 per cell]  2 Pu 3.40, 8 Dy 3.44-3.53, 2 Tm 3.46
Pu 0.0000 0.0472 0.7500 [4 per cell]  2 Pu 3.39, 2 Tm 3.40, 8 Dy 3.44-3.53

Properties
The value obtained for the energy of formation is 0.2145 eV/atom. For the calculated density, the calculation gives 9.46 g/cm3.

Q: Number 7 is which compound?
A: HoErNi2

Q: The highest calculated density belongs to which entry?
A: Mn2ReAs

Q: Which formula does entry 2 have?
A: Mn2ReAs